Density functional theory data (PBE) for a geometry-optimized Ac2SbBr structure.

The distance to the lowest polymorph of the same formula is 0.000 eV per atom. The calculation puts the density at 7.27 g/cm3. As for the formation energy (no corrections): -1.17 eV/atom.

It has space group R3m (No. 160, hexagonal axes), with a = 4.5834 Å, b = 4.5834 Å, c = 24.6896 Å, α = 90.00°, β = 90.00° and γ = 120.00°. The inequivalent atoms are Ac at (0.0000, 0.0000, 0.0000), Ac at (0.0000, 0.0000, 0.1811), Sb at (0.0000, 0.0000, 0.5892) and Br at (0.0000, 0.0000, 0.7587).

***

Density functional theory data (PBE) for a geometry-optimized Ac2SbBr structure.

The distance to the lowest polymorph of the same formula is 0.101 eV per atom. The calculation puts the density at 6.03 g/cm3. As for the formation energy (no corrections): -1.07 eV/atom.

It has space group R-3m (No. 166, hexagonal axes), with a = 4.5553 Å, b = 4.5553 Å, c = 30.1498 Å, α = 90.00°, β = 90.00° and γ = 120.00°. The inequivalent atoms are Ac at (0.0000, 0.0000, 0.1012), Sb at (0.0000, 0.0000, 0.5000) and Br at (0.0000, 0.0000, 0.0000).

***

Density functional theory data (PBE) for a geometry-optimized Ac5Sb4Br structure.

The calculation puts the density at 7.42 g/cm3. As for the formation energy (no corrections): -1.25 eV/atom.

It has space group Immm (No. 71), with a = 4.786 Å, b = 6.713 Å, c = 23.696 Å, α = 90.00°, β = 90.00° and γ = 90.00°. The inequivalent atoms are Ac at (0.000, 0.000, 0.000), Ac at (0.000, 0.000, 0.200), Ac at (0.000, 0.000, 0.395), Sb at (0.000, 0.500, 0.199), Sb at (0.000, 0.500, 0.402) and Br at (0.000, 0.500, 0.000).

***

Density functional theory data (PBE) for a geometry-optimized AcSbBr structure.

The distance to the lowest polymorph of the same formula is 0.000 eV per atom. The calculation puts the density at 6.55 g/cm3. As for the formation energy (no corrections): -1.37 eV/atom.

It has space group P-1 (No. 2), with a = 4.695 Å, b = 6.341 Å, c = 8.452 Å, α = 110.55°, β = 90.32° and γ = 111.01°. The inequivalent atoms are Ac at (0.175, 0.352, 0.203), Sb at (0.468, 0.900, 0.131) and Br at (0.166, 0.324, 0.578).

***

Density functional theory data (PBE) for a geometry-optimized AcSbBr structure.

The distance to the lowest polymorph of the same formula is 0.419 eV per atom. The calculation puts the density at 6.07 g/cm3. As for the formation energy (no corrections): -0.95 eV/atom.

It has space group R3m (No. 160, hexagonal axes), with a = 5.5529 Å, b = 5.5529 Å, c = 13.1833 Å, α = 90.00°, β = 90.00° and γ = 120.00°. The inequivalent atoms are Ac at (0.0000, 0.0000, 0.0000), Sb at (0.0000, 0.0000, 0.7436) and Br at (0.0000, 0.0000, 0.2478).

***

Density functional theory data (PBE) for a geometry-optimized Ac2SbBr structure.

The distance to the lowest polymorph of the same formula is 0.010 eV per atom. The calculation puts the density at 8.38 g/cm3. As for the formation energy (no corrections): -1.16 eV/atom.

It has space group Fm-3m (No. 225), with a = 8.040 Å, b = 8.040 Å, c = 8.040 Å, α = 90.00°, β = 90.00° and γ = 90.00°. The inequivalent atoms are Ac at (0.250, 0.250, 0.250), Sb at (0.000, 0.000, 0.000) and Br at (0.000, 0.000, 0.500).